*1*
A geometry-optimized Dy3Tm6Mg structure. Source: Alexandria via LeMat-Bulk, functional GGA-PBE.

magnetization: 0.000 μB per atom
N(E_F): 13.3 states/eV/f.u.

abc: 10.977 4.947 11.031
angles: 90.00 90.25 90.00
Fractional positions:
Dy1 0.051 0.250 0.400
Dy2 0.152 0.750 0.202
Dy3 0.252 0.250 0.002
Dy4 0.748 0.750 0.998
Dy5 0.848 0.250 0.798
Dy6 0.949 0.750 0.600
Tm1 0.052 0.750 0.898
Tm2 0.153 0.250 0.700
Tm3 0.254 0.750 0.501
Tm4 0.350 0.750 0.802
Tm5 0.353 0.250 0.304
Tm6 0.451 0.750 0.100
Tm7 0.549 0.250 0.900
Tm8 0.647 0.750 0.696
Tm9 0.650 0.250 0.198
Tm10 0.746 0.250 0.499
Tm11 0.847 0.750 0.300
Tm12 0.948 0.250 0.102
Mg1 0.451 0.250 0.600
Mg2 0.549 0.750 0.400

=====

*2*
A geometry-optimized Dy3Tm6Mg structure. Source: Alexandria via LeMat-Bulk, functional GGA-PBE.

magnetization: 0.000 μB per atom
N(E_F): 12.5 states/eV/f.u.

abc: 8.793 8.793 8.810
angles: 90.00 90.00 117.26
Fractional positions:
Dy1 0.041 0.959 0.500
Dy2 0.176 0.469 0.981
Dy3 0.469 0.176 0.481
Dy4 0.531 0.824 0.981
Dy5 0.824 0.531 0.481
Dy6 0.959 0.041 0.000
Tm1 0.024 0.325 0.642
Tm2 0.208 0.333 0.313
Tm3 0.212 0.788 0.749
Tm4 0.325 0.024 0.142
Tm5 0.333 0.208 0.813
Tm6 0.439 0.561 0.627
Tm7 0.561 0.439 0.127
Tm8 0.667 0.792 0.313
Tm9 0.675 0.976 0.642
Tm10 0.788 0.212 0.249
Tm11 0.792 0.667 0.813
Tm12 0.976 0.675 0.142
Mg1 0.273 0.727 0.388
Mg2 0.727 0.273 0.888

=====

Quick one: least stable of them? *2*

=====

*1*
A geometry-optimized Dy2TmMg4 structure. Source: Alexandria via LeMat-Bulk, functional GGA-PBE.

magnetization: 0.000 μB per atom
N(E_F): 8.5 states/eV/f.u.

abc: 8.899 8.899 8.899
angles: 143.80 143.80 52.13
Fractional positions:
Dy1 0.103 0.103 0.000
Dy2 0.897 0.897 0.000
Tm1 0.500 0.500 0.000
Mg1 0.000 0.500 0.500
Mg2 0.311 0.311 0.000
Mg3 0.500 0.000 0.500
Mg4 0.689 0.689 0.000

=====

*2*
A geometry-optimized Dy2TmMg4 structure. Source: Alexandria via LeMat-Bulk, functional GGA-PBE.

magnetization: 0.059 μB per atom
N(E_F): 6.2 states/eV/f.u.

abc: 8.091 8.091 8.091
angles: 141.19 141.19 56.05
Fractional positions:
Dy1 0.250 0.250 0.000
Dy2 0.750 0.750 0.000
Tm1 0.000 0.000 0.000
Mg1 0.116 0.616 0.500
Mg2 0.384 0.884 0.500
Mg3 0.616 0.116 0.500
Mg4 0.884 0.384 0.500

=====

Quick one: least stable of them? *1*

=====

*1*
A geometry-optimized Dy2TmMg2 structure. Source: Alexandria via LeMat-Bulk, functional GGA-PBE.

magnetization: 0.000 μB per atom
N(E_F): 5.9 states/eV/f.u.

abc: 11.800 11.800 4.912
angles: 90.00 90.00 155.90
Fractional positions:
Dy1 0.052 0.948 0.750
Dy2 0.444 0.556 0.750
Dy3 0.556 0.444 0.250
Dy4 0.948 0.052 0.250
Tm1 0.161 0.839 0.250
Tm2 0.839 0.161 0.750
Mg1 0.250 0.750 0.750
Mg2 0.336 0.664 0.250
Mg3 0.664 0.336 0.750
Mg4 0.750 0.250 0.250

=====

*2*
A geometry-optimized Dy2TmMg2 structure. Source: Alexandria via LeMat-Bulk, functional GGA-PBE.

magnetization: 0.000 μB per atom
N(E_F): 5.3 states/eV/f.u.

abc: 3.709 5.397 14.006
angles: 90.00 97.61 90.00
Fractional positions:
Dy1 0.044 0.250 0.088
Dy2 0.237 0.250 0.474
Dy3 0.763 0.750 0.526
Dy4 0.956 0.750 0.912
Tm1 0.152 0.750 0.305
Tm2 0.848 0.250 0.695
Mg1 0.361 0.750 0.720
Mg2 0.445 0.250 0.890
Mg3 0.555 0.750 0.110
Mg4 0.639 0.250 0.280

=====

Quick one: least stable of them? *1*

=====

*1*
A geometry-optimized Dy2MgV structure. Source: Alexandria via LeMat-Bulk, functional GGA-PBE.

magnetization: 0.846 μB per atom
N(E_F): 6.6 states/eV/f.u.

abc: 11.551 11.551 11.551
angles: 16.15 16.15 16.15
Fractional positions:
Dy1 0.083 0.083 0.083
Dy2 0.917 0.917 0.917
Mg1 0.500 0.500 0.500
V1 0.000 0.000 0.000

=====

*2*
A geometry-optimized Dy2MgV structure. Source: Alexandria via LeMat-Bulk, functional GGA-PBE.

magnetization: 0.736 μB per atom
N(E_F): 2.9 states/eV/f.u.

abc: 3.605 3.605 7.804
angles: 90.00 90.00 90.00
Fractional positions:
Dy1 0.000 0.000 0.220
Dy2 0.000 0.000 0.780
Mg1 0.500 0.500 0.500
V1 0.500 0.500 0.000

=====

Quick one: least stable of them? *1*

=====

*1*
A geometry-optimized Dy3YMg structure. Source: Alexandria via LeMat-Bulk, functional GGA-PBE.

magnetization: 0.000 μB per atom
N(E_F): 6.6 states/eV/f.u.

abc: 9.886 9.886 6.491
angles: 100.76 100.76 81.03
Fractional positions:
Dy1 0.096 0.711 0.544
Dy2 0.122 0.490 0.859
Dy3 0.220 0.370 0.351
Dy4 0.289 0.904 0.956
Dy5 0.370 0.220 0.851
Dy6 0.490 0.122 0.359
Dy7 0.510 0.878 0.641
Dy8 0.630 0.780 0.149
Dy9 0.711 0.096 0.044
Dy10 0.780 0.630 0.649
Dy11 0.878 0.510 0.141
Dy12 0.904 0.289 0.456
Y1 0.025 0.177 0.947
Y2 0.177 0.025 0.447
Y3 0.823 0.975 0.553
Y4 0.975 0.823 0.053
Mg1 0.331 0.669 0.250
Mg2 0.427 0.573 0.750
Mg3 0.573 0.427 0.250
Mg4 0.669 0.331 0.750

=====

*2*
A geometry-optimized Dy3YMg structure. Source: Alexandria via LeMat-Bulk, functional GGA-PBE.

magnetization: 0.001 μB per atom
N(E_F): 7.0 states/eV/f.u.

abc: 6.706 6.706 12.775
angles: 93.72 93.72 31.72
Fractional positions:
Dy1 0.035 0.035 0.188
Dy2 0.149 0.149 0.442
Dy3 0.365 0.365 0.022
Dy4 0.635 0.635 0.978
Dy5 0.851 0.851 0.558
Dy6 0.965 0.965 0.812
Y1 0.234 0.234 0.758
Y2 0.766 0.766 0.242
Mg1 0.441 0.441 0.374
Mg2 0.559 0.559 0.626

=====

Quick one: least stable of them? *1*

=====

*1*
A geometry-optimized DyY2Mg4 structure. Source: Alexandria via LeMat-Bulk, functional GGA-PBE.

magnetization: 0.000 μB per atom
N(E_F): 8.9 states/eV/f.u.

abc: 8.951 8.951 8.951
angles: 143.96 143.96 51.88
Fractional positions:
Dy1 0.000 0.000 0.000
Y1 0.396 0.396 0.000
Y2 0.604 0.604 0.000
Mg1 0.000 0.500 0.500
Mg2 0.189 0.189 0.000
Mg3 0.500 0.000 0.500
Mg4 0.811 0.811 0.000

=====

*2*
A geometry-optimized DyY2Mg4 structure. Source: Alexandria via LeMat-Bulk, functional GGA-PBE.

magnetization: 0.066 μB per atom
N(E_F): 6.1 states/eV/f.u.

abc: 8.120 8.120 8.120
angles: 141.09 141.09 56.20
Fractional positions:
Dy1 0.000 0.000 0.000
Y1 0.251 0.251 0.000
Y2 0.749 0.749 0.000
Mg1 0.117 0.617 0.500
Mg2 0.383 0.883 0.500
Mg3 0.617 0.117 0.500
Mg4 0.883 0.383 0.500

=====

Quick one: least stable of them? *1*